# meta-GGA SCAN BaAl2Pb, single point on PBEsol structure
data_BaAl2Pb
_chemical_formula_sum 'Ba1 Al2 Pb1'
_space_group_name_H-M_alt 'P 1 2/m 1'
_space_group_IT_number 10
_cell_length_a 3.4384
_cell_length_b 4.9246
_cell_length_c 6.7051
_cell_angle_alpha 90.00
_cell_angle_beta 98.00
_cell_angle_gamma 90.00
loop_
_space_group_symop_operation_xyz
'x,y,z'
'-x,-y,-z'
'-x,y,-z'
'x,-y,z'
loop_
_atom_site_label
_atom_site_fract_x
_atom_site_fract_y
_atom_site_fract_z
_atom_site_occupancy
Ba1 0.0000 0.0000 0.0000 1
Al1 0.3079 0.5000 0.6877 1
Pb1 0.5000 0.0000 0.5000 1
# * total energy: -32.72 eV per atom
# * V: 112.4 Å³ per cell
# * magnetization: 0.0 μB per formula unit

# meta-GGA SCAN BaAl2Pb, single point on PBEsol structure
data_BaAl2Pb
_chemical_formula_sum 'Ba4 Al8 Pb4'
_space_group_name_H-M_alt 'F -4 3 m'
_space_group_IT_number 216
_space_group_name_Hall 'F -4 2 3'
_cell_length_a 7.5654
_cell_length_b 7.5654
_cell_length_c 7.5654
_cell_angle_alpha 90.00
_cell_angle_beta 90.00
_cell_angle_gamma 90.00
loop_
_atom_site_label
_atom_site_fract_x
_atom_site_fract_y
_atom_site_fract_z
_atom_site_occupancy
Ba1 0.0000 0.0000 0.0000 1
Al1 0.0000 0.0000 0.5000 1
Al2 0.2500 0.2500 0.2500 1
Pb1 0.2500 0.2500 0.7500 1
# * total energy: -32.66 eV per atom
# * V: 433.0 Å³ per cell
# * magnetization: 0.0 μB per formula unit

# meta-GGA SCAN Ba2AlPb, single point on PBEsol structure
data_Ba2AlPb
_chemical_formula_sum 'Ba4 Al2 Pb2'
_space_group_name_H-M_alt 'A m m 2'
_space_group_IT_number 38
_cell_length_a 4.6612
_cell_length_b 5.1206
_cell_length_c 12.8261
_cell_angle_alpha 90.00
_cell_angle_beta 90.00
_cell_angle_gamma 90.00
loop_
_space_group_symop_operation_xyz
'x,y,z'
'-x,-y,z'
'-x,y,z'
'x,-y,z'
'x,y+1/2,z+1/2'
'-x,-y+1/2,z+1/2'
'-x,y+1/2,z+1/2'
'x,-y+1/2,z+1/2'
loop_
_atom_site_label
_atom_site_fract_x
_atom_site_fract_y
_atom_site_fract_z
_atom_site_occupancy
Ba1 0.0000 0.0000 0.0000 1
Ba2 0.5000 0.0000 0.2815 1
Al1 0.5000 0.0000 0.5762 1
Pb1 0.0000 0.0000 0.7082 1
# * total energy: -41.18 eV per atom
# * V: 306.1 Å³ per cell
# * magnetization: 0.5 μB per formula unit
# * relative energy among the computed polymorphs: 0.0 meV/atom

# meta-GGA SCAN BaAl2Pb2, single point on PBEsol structure
data_BaAl2Pb2
_chemical_formula_sum 'Ba2 Al4 Pb4'
_space_group_name_H-M_alt 'I 4/m m m'
_space_group_IT_number 139
_space_group_name_Hall '-I 4 2'
_cell_length_a 5.1265
_cell_length_b 5.1265
_cell_length_c 10.7511
_cell_angle_alpha 90.00
_cell_angle_beta 90.00
_cell_angle_gamma 90.00
loop_
_atom_site_label
_atom_site_fract_x
_atom_site_fract_y
_atom_site_fract_z
_atom_site_occupancy
Ba1 0.0000 0.0000 0.0000 1
Al1 0.0000 0.0000 0.3794 1
Pb1 0.0000 0.5000 0.2500 1
# * total energy: -41.69 eV per atom
# * V: 282.5 Å³ per cell
# * magnetization: 0.0 μB per formula unit

# meta-GGA SCAN BaAl2Pb, single point on PBEsol structure
data_BaAl2Pb
_chemical_formula_sum 'Ba2 Al4 Pb2'
_space_group_name_H-M_alt 'I m m 2'
_space_group_IT_number 44
_cell_length_a 4.3266
_cell_length_b 4.4802
_cell_length_c 12.2210
_cell_angle_alpha 90.00
_cell_angle_beta 90.00
_cell_angle_gamma 90.00
loop_
_space_group_symop_operation_xyz
'x,y,z'
'-x,-y,z'
'-x,y,z'
'x,-y,z'
'x+1/2,y+1/2,z+1/2'
'-x+1/2,-y+1/2,z+1/2'
'-x+1/2,y+1/2,z+1/2'
'x+1/2,-y+1/2,z+1/2'
loop_
_atom_site_label
_atom_site_fract_x
_atom_site_fract_y
_atom_site_fract_z
_atom_site_occupancy
Ba1 0.0000 0.0000 0.0000 1
Al1 0.0000 0.0000 0.6185 1
Al2 0.0000 0.5000 0.2457 1
Pb1 0.0000 0.5000 0.7774 1
# * total energy: -32.86 eV per atom
# * V: 236.9 Å³ per cell
# * magnetization: 0.0 μB per formula unit

# meta-GGA SCAN BaAlPb, single point on PBEsol structure
data_BaAlPb
_chemical_formula_sum 'Ba1 Al1 Pb1'
_space_group_name_H-M_alt 'P 3 m 1'
_space_group_IT_number 156
_cell_length_a 4.7069
_cell_length_b 4.7069
_cell_length_c 5.1074
_cell_angle_alpha 90.00
_cell_angle_beta 90.00
_cell_angle_gamma 120.00
loop_
_space_group_symop_operation_xyz
'x,y,z'
'-y,x-y,z'
'-x+y,-x,z'
'-y,-x,z'
'-x+y,y,z'
'x,x-y,z'
loop_
_atom_site_label
_atom_site_fract_x
_atom_site_fract_y
_atom_site_fract_z
_atom_site_occupancy
Ba1 0.0000 0.0000 0.0000 1
Al1 0.6667 0.3333 0.4409 1
Pb1 0.3333 0.6667 0.5390 1
# * total energy: -41.52 eV per atom
# * V: 98.0 Å³ per cell
# * magnetization: 0.0 μB per formula unit

# meta-GGA SCAN Ba2AlPb, single point on PBEsol structure
data_Ba2AlPb
_chemical_formula_sum 'Ba4 Al2 Pb2'
_space_group_name_H-M_alt 'I -4 m 2'
_space_group_IT_number 119
_space_group_name_Hall 'I -4 -2'
_cell_length_a 5.0663
_cell_length_b 5.0663
_cell_length_c 10.6017
_cell_angle_alpha 90.00
_cell_angle_beta 90.00
_cell_angle_gamma 90.00
loop_
_atom_site_label
_atom_site_fract_x
_atom_site_fract_y
_atom_site_fract_z
_atom_site_occupancy
Ba1 0.0000 0.0000 0.0000 1
Ba2 0.0000 0.5000 0.2500 1
Al1 0.0000 0.5000 0.7500 1
Pb1 0.0000 0.0000 0.5000 1
# * total energy: -40.88 eV per atom
# * V: 272.1 Å³ per cell
# * magnetization: 0.0 μB per formula unit
# * relative energy among the computed polymorphs: 305.1 meV/atom

# meta-GGA SCAN BaAl2Pb, single point on PBEsol structure
data_BaAl2Pb
_chemical_formula_sum 'Ba1 Al2 Pb1'
_space_group_name_H-M_alt 'P 4/m m m'
_space_group_IT_number 123
_space_group_name_Hall '-P 4 2'
_cell_length_a 4.7787
_cell_length_b 4.7787
_cell_length_c 4.7615
_cell_angle_alpha 90.00
_cell_angle_beta 90.00
_cell_angle_gamma 90.00
loop_
_atom_site_label
_atom_site_fract_x
_atom_site_fract_y
_atom_site_fract_z
_atom_site_occupancy
Ba1 0.0000 0.0000 0.0000 1
Al1 0.0000 0.5000 0.5000 1
Pb1 0.5000 0.5000 0.0000 1
# * total energy: -32.69 eV per atom
# * V: 108.7 Å³ per cell
# * magnetization: 0.0 μB per formula unit

# meta-GGA SCAN BaAl2Pb, single point on PBEsol structure
data_BaAl2Pb
_chemical_formula_sum 'Ba1 Al2 Pb1'
_space_group_name_H-M_alt 'P m m m'
_space_group_IT_number 47
_cell_length_a 3.7419
_cell_length_b 4.0072
_cell_length_c 7.4338
_cell_angle_alpha 90.00
_cell_angle_beta 90.00
_cell_angle_gamma 90.00
loop_
_space_group_symop_operation_xyz
'x,y,z'
'-x,-y,-z'
'-x,-y,z'
'x,y,-z'
'x,-y,-z'
'-x,y,z'
'-x,y,-z'
'x,-y,z'
loop_
_atom_site_label
_atom_site_fract_x
_atom_site_fract_y
_atom_site_fract_z
_atom_site_occupancy
Ba1 0.0000 0.0000 0.0000 1
Al1 0.5000 0.5000 0.3145 1
Pb1 0.0000 0.0000 0.5000 1
# * total energy: -32.81 eV per atom
# * V: 111.5 Å³ per cell
# * magnetization: 0.0 μB per formula unit

# meta-GGA SCAN Ba2AlPb, single point on PBEsol structure
data_Ba2AlPb
_chemical_formula_sum 'Ba8 Al4 Pb4'
_space_group_name_H-M_alt 'F m -3 m'
_space_group_IT_number 225
_space_group_name_Hall '-F 4 2 3'
_cell_length_a 8.3207
_cell_length_b 8.3207
_cell_length_c 8.3207
_cell_angle_alpha 90.00
_cell_angle_beta 90.00
_cell_angle_gamma 90.00
loop_
_atom_site_label
_atom_site_fract_x
_atom_site_fract_y
_atom_site_fract_z
_atom_site_occupancy
Ba1 0.2500 0.2500 0.2500 1
Al1 0.0000 0.0000 0.0000 1
Pb1 0.0000 0.0000 0.5000 1
# * total energy: -41.03 eV per atom
# * V: 576.1 Å³ per cell
# * magnetization: 0.0 μB per formula unit
# * relative energy among the computed polymorphs: 151.7 meV/atom

# meta-GGA SCAN BaAlPbS2, single point on PBEsol structure
data_BaAlPbS2
_chemical_formula_sum 'Ba1 Al1 Pb1 S2'
_space_group_name_H-M_alt 'P 4/m m m'
_space_group_IT_number 123
_space_group_name_Hall '-P 4 2'
_cell_length_a 5.6670
_cell_length_b 5.6670
_cell_length_c 5.7233
_cell_angle_alpha 90.00
_cell_angle_beta 90.00
_cell_angle_gamma 90.00
loop_
_atom_site_label
_atom_site_fract_x
_atom_site_fract_y
_atom_site_fract_z
_atom_site_occupancy
Ba1 0.0000 0.0000 0.0000 1
Al1 0.0000 0.0000 0.5000 1
Pb1 0.5000 0.5000 0.5000 1
S1 0.0000 0.5000 0.0000 1
# * total energy: -27.97 eV per atom
# * V: 183.8 Å³ per cell
# * magnetization: 0.0 μB per formula unit
# * formation energy (no corrections): 494 meV per atom

# meta-GGA SCAN BaAl2Pd2, single point on PBEsol structure
data_BaAl2Pd2
_chemical_formula_sum 'Ba2 Al4 Pd4'
_space_group_name_H-M_alt 'I 4/m m m'
_space_group_IT_number 139
_space_group_name_Hall '-I 4 2'
_cell_length_a 4.2766
_cell_length_b 4.2766
_cell_length_c 11.4936
_cell_angle_alpha 90.00
_cell_angle_beta 90.00
_cell_angle_gamma 90.00
loop_
_atom_site_label
_atom_site_fract_x
_atom_site_fract_y
_atom_site_fract_z
_atom_site_occupancy
Ba1 0.0000 0.0000 0.0000 1
Al1 0.0000 0.5000 0.2500 1
Pd1 0.0000 0.0000 0.3692 1
# * total energy: -24.90 eV per atom
# * V: 210.2 Å³ per cell
# * magnetization: 0.0 μB per formula unit

# meta-GGA SCAN BaAl2Pt2, single point on PBEsol structure
data_BaAl2Pt2
_chemical_formula_sum 'Ba2 Al4 Pt4'
_space_group_name_H-M_alt 'I 4/m m m'
_space_group_IT_number 139
_space_group_name_Hall '-I 4 2'
_cell_length_a 4.2470
_cell_length_b 4.2470
_cell_length_c 11.5158
_cell_angle_alpha 90.00
_cell_angle_beta 90.00
_cell_angle_gamma 90.00
loop_
_atom_site_label
_atom_site_fract_x
_atom_site_fract_y
_atom_site_fract_z
_atom_site_occupancy
Ba1 0.0000 0.0000 0.0000 1
Al1 0.0000 0.5000 0.2500 1
Pt1 0.0000 0.0000 0.3691 1
# * total energy: -40.20 eV per atom
# * V: 207.7 Å³ per cell
# * magnetization: 0.0 μB per formula unit

# meta-GGA SCAN Ba2AlPt, single point on PBEsol structure
data_Ba2AlPt
_chemical_formula_sum 'Ba4 Al2 Pt2'
_space_group_name_H-M_alt 'A m m 2'
_space_group_IT_number 38
_cell_length_a 4.3404
_cell_length_b 5.1063
_cell_length_c 11.5913
_cell_angle_alpha 90.00
_cell_angle_beta 90.00
_cell_angle_gamma 90.00
loop_
_space_group_symop_operation_xyz
'x,y,z'
'-x,-y,z'
'-x,y,z'
'x,-y,z'
'x,y+1/2,z+1/2'
'-x,-y+1/2,z+1/2'
'-x,y+1/2,z+1/2'
'x,-y+1/2,z+1/2'
loop_
_atom_site_label
_atom_site_fract_x
_atom_site_fract_y
_atom_site_fract_z
_atom_site_occupancy
Ba1 0.0000 0.0000 0.0000 1
Ba2 0.5000 0.0000 0.2945 1
Al1 0.5000 0.0000 0.6051 1
Pt1 0.0000 0.0000 0.7052 1
# * total energy: -39.91 eV per atom
# * V: 256.9 Å³ per cell
# * magnetization: 0.0 μB per formula unit